No. 1
First-principles (PBE) data for a relaxed SmCrGa2 crystal, as listed in the Alexandria database.

Unit cell a=4.3184 b=4.3184 c=5.7222 alpha=67.83 beta=67.83 gamma=60.00
Fractional positions:
Ga (0.7855, 0.7855, 0.6436)
Ga (0.2145, 0.2145, 0.3564)
Cr (0.5000, 0.5000, 0.5000)
Sm (0.0000, 0.0000, 0.0000)

Summary:
- crystal system = trigonal
- symmetry = R-3m, No. 166
- DOS at the Fermi energy (states/eV/atom) = 0.95
- DFT formation energy (eV per atom) = -0.24
- ρ (Mg/m³) = 6.82
- total magnetic moment (μB per formula unit) = 3.475

---

No. 2
First-principles (PBE) data for a relaxed Tm6Mg3Fe crystal, as listed in the Alexandria database.

Unit cell a=5.4886 b=9.6456 c=10.3928 alpha=107.48 beta=91.14 gamma=92.18
Fractional positions:
Tm (0.2559, 0.4376, 0.0717)
Tm (0.2977, 0.7838, 0.3272)
Tm (0.7202, 0.2693, 0.3364)
Tm (0.7023, 0.2162, 0.6728)
Tm (0.2514, 0.0973, 0.1355)
Tm (0.7441, 0.5624, 0.9283)
Tm (0.1773, 0.1436, 0.4709)
Tm (0.2292, 0.1074, 0.8169)
Tm (0.7486, 0.9027, 0.8645)
Tm (0.2798, 0.7307, 0.6636)
Tm (0.7708, 0.8926, 0.1831)
Tm (0.8227, 0.8564, 0.5291)
Mg (0.2547, 0.7536, 0.9864)
Mg (0.2316, 0.4317, 0.7487)
Mg (0.7623, 0.5407, 0.6083)
Mg (0.2377, 0.4593, 0.3917)
Mg (0.7684, 0.5683, 0.2513)
Mg (0.7453, 0.2464, 0.0136)
Fe (0.6347, 0.0413, 0.4178)
Fe (0.3653, 0.9587, 0.5822)

Summary:
- crystal system = triclinic
- symmetry = P-1, No. 2
- DOS at the Fermi energy (states/eV/atom) = 0.87
- polymorph energy (0 for the lowest one) (meV/atom) = 0
- DFT formation energy (eV per atom) = 0.00
- ρ (Mg/m³) = 7.24
- total magnetic moment (μB per formula unit) = 0.000

---

No. 3
First-principles (PBE) data for a relaxed CuNi2Ir crystal, as listed in the Alexandria database.

Unit cell a=2.9374 b=2.9374 c=5.6289 alpha=90.00 beta=90.00 gamma=90.00
Fractional positions:
Ni (0.0000, 0.0000, 0.0163)
Ni (0.5000, 0.5000, 0.2459)
Cu (0.0000, 0.0000, 0.4793)
Ir (0.5000, 0.5000, 0.7585)

Summary:
- crystal system = tetragonal
- symmetry = P4mm, No. 99
- DOS at the Fermi energy (states/eV/atom) = 1.52
- DFT formation energy (eV per atom) = 0.15
- ρ (Mg/m³) = 12.76
- total magnetic moment (μB per formula unit) = 1.695

---

For reference, calculated total energy by record: -5.342, -4.007, -5.981 eV per atom.